Record 1
! Ba4PCl3 PBE-GGA relaxed; values from VASP
&SYSTEM
  ibrav = 0, nat = 8, ntyp = 3
/
ATOMIC_SPECIES
P 30.97 P.upf
Ba 137.33 Ba.upf
Cl 35.45 Cl.upf
CELL_PARAMETERS angstrom
4.604 0.000 0.000
0.000 7.527 -2.575
0.000 -0.071 7.955
ATOMIC_POSITIONS angstrom
P 2.302 0.000 0.000
Ba 0.000 1.738 1.254
Ba 2.302 5.705 -0.050
Ba 0.000 5.717 4.125
Ba 2.302 1.751 5.430
Cl 0.000 -0.036 3.978
Cl 2.302 3.728 2.690
Cl 0.000 3.763 -1.288
! Uncorrected formation energy: -1.74 eV/atom

Record 2
Here is a relaxed structure of CsCd2AgHg from Alexandria via LeMat-Bulk. Energies are from PBE-GGA. Values from VASP.

```
&SYSTEM
  ibrav = 0, nat = 5, ntyp = 4
/
ATOMIC_SPECIES
Cs 132.91 Cs.upf
Hg 200.59 Hg.upf
Ag 107.87 Ag.upf
Cd 112.41 Cd.upf
CELL_PARAMETERS angstrom
-4.028 -1.710 -3.313
-1.716 -3.479 3.882
-4.050 4.753 2.470
ATOMIC_POSITIONS angstrom
Cs -2.025 2.377 1.235
Hg -4.897 -0.218 1.520
Ag 0.000 0.000 0.000
Cd -0.858 -1.740 1.941
Cd -2.014 -0.855 -1.656
```

Sequential magnetization output: 0.00, 0.00 μB/f.u.
Sequential uncorrected energy output: -4.07, -1.10 eV/atom